This record from Alexandria describes a relaxed structure of BaLa2CeN4. The functional is GGA-PBE.

Space-group type   Cmcm (63)
Formation energy (no corrections)   -101.0 kJ/mol of atoms

The structure in POSCAR format:
```
BaLa2CeN4
1.0
1.912 -6.477 0.000
1.912 6.477 0.000
0.000 0.000 13.070
Ba La Ce N
2 4 2 8
direct
0.133 0.867 0.750
0.867 0.133 0.250
0.370 0.630 0.522
0.370 0.630 0.978
0.630 0.370 0.022
0.630 0.370 0.478
0.131 0.869 0.250
0.869 0.131 0.750
0.000 0.000 0.000
0.000 0.000 0.500
0.244 0.756 0.116
0.244 0.756 0.384
0.455 0.545 0.750
0.545 0.455 0.250
0.756 0.244 0.616
0.756 0.244 0.884
```

This record from Alexandria describes a relaxed structure of BaLa2CeSe4. The functional is GGA-PBE.

Space-group type   P2/m (10)
Formation energy (no corrections)   -184.0 kJ/mol of atoms
N(E_F)   1.30 states/eV per atom

The structure in POSCAR format:
```
BaLa2CeSe4
1.0
7.595 0.000 0.000
0.000 4.357 0.000
-2.502 0.000 7.205
Ba La Ce Se
1 2 1 4
direct
0.000 0.000 0.000
0.500 0.000 0.500
0.500 0.500 0.000
0.000 0.500 0.500
0.253 0.000 0.740
0.262 0.500 0.266
0.738 0.500 0.734
0.747 0.000 0.260
```

This record from Alexandria describes a relaxed structure of Ba2LiCeO5. The functional is GGA-PBE.

Space-group type   Cmc2_1 (36)
Formation energy (no corrections)   -243.6 kJ/mol of atoms

The structure in POSCAR format:
```
Ba2LiCeO5
1.0
1.865 -7.095 0.000
1.865 7.095 0.000
0.000 0.000 11.360
Ba Li Ce O
4 2 2 10
direct
0.106 0.894 0.500
0.141 0.859 0.165
0.859 0.141 0.665
0.894 0.106 0.000
0.472 0.528 0.247
0.528 0.472 0.747
0.170 0.830 0.845
0.830 0.170 0.345
0.020 0.980 0.814
0.318 0.682 0.480
0.320 0.680 0.840
0.332 0.668 0.217
0.483 0.517 0.582
0.517 0.483 0.082
0.668 0.332 0.717
0.680 0.320 0.340
0.682 0.318 0.980
0.980 0.020 0.314
```

This record from Alexandria describes a relaxed structure of Ba2Li3CeO6. The functional is GGA-PBE.

Space-group type   P4/mmm (123)
Formation energy (no corrections)   -222.1 kJ/mol of atoms
N(E_F)   0.59 states/eV per atom

The structure in POSCAR format:
```
Ba2Li3CeO6
1.0
3.868 0.000 0.000
0.000 3.868 0.000
0.000 0.000 11.914
Ba Li Ce O
2 3 1 6
direct
0.000 0.000 0.203
0.000 0.000 0.797
0.500 0.500 0.000
0.500 0.500 0.339
0.500 0.500 0.661
0.000 0.000 0.500
0.000 0.500 0.382
0.000 0.500 0.618
0.500 0.000 0.382
0.500 0.000 0.618
0.500 0.500 0.151
0.500 0.500 0.849
```

This record from Alexandria describes a relaxed structure of Ba3Li2CeO6. The functional is GGA-PBE.

Space-group type   P-3m1 (164)
Formation energy (no corrections)   -240.3 kJ/mol of atoms
N(E_F)   0.00 states/eV per atom

The structure in POSCAR format:
```
Ba3Li2CeO6
1.0
6.175 0.000 0.000
-3.087 5.347 0.000
0.000 0.000 6.898
Ba Li Ce O
3 2 1 6
direct
0.000 0.000 0.000
0.333 0.667 0.632
0.667 0.333 0.368
0.333 0.667 0.219
0.667 0.333 0.781
0.000 0.000 0.500
0.168 0.336 0.302
0.168 0.832 0.302
0.336 0.168 0.698
0.664 0.832 0.302
0.832 0.168 0.698
0.832 0.664 0.698
```

This record from Alexandria describes a relaxed structure of Ba2LiCePd6. The functional is GGA-PBE.

Space-group type   C2/m (12)
N(E_F)   0.63 states/eV per atom

The structure in POSCAR format:
```
Ba2LiCePd6
1.0
6.393 -2.832 0.000
6.393 2.832 0.000
-5.579 0.000 6.790
Ba Li Ce Pd
2 1 1 6
direct
0.227 0.227 0.175
0.773 0.773 0.825
0.500 0.500 0.000
0.000 0.000 0.500
0.243 0.726 0.735
0.248 0.248 0.569
0.274 0.757 0.265
0.726 0.243 0.735
0.752 0.752 0.431
0.757 0.274 0.265
```

This record from Alexandria describes a relaxed structure of BaLiCe2S4. The functional is GGA-PBE.

Space-group type   Cmcm (63)
Formation energy (no corrections)   -182.9 kJ/mol of atoms
N(E_F)   1.62 states/eV per atom

The structure in POSCAR format:
```
BaLiCe2S4
1.0
2.070 -6.866 0.000
2.070 6.866 0.000
0.000 0.000 14.065
Ba Li Ce S
2 2 4 8
direct
0.112 0.888 0.750
0.888 0.112 0.250
0.156 0.844 0.250
0.844 0.156 0.750
0.369 0.631 0.556
0.369 0.631 0.944
0.631 0.369 0.056
0.631 0.369 0.444
0.000 0.000 0.000
0.000 0.000 0.500
0.265 0.735 0.117
0.265 0.735 0.383
0.436 0.564 0.750
0.564 0.436 0.250
0.735 0.265 0.617
0.735 0.265 0.883
```

This record from Alexandria describes a relaxed structure of BaLiCeS4. The functional is GGA-PBE.

Space-group type   Cmcm (63)
Formation energy (no corrections)   -142.2 kJ/mol of atoms
N(E_F)   0.42 states/eV per atom

The structure in POSCAR format:
```
BaLiCeS4
1.0
2.786 -8.110 0.000
2.786 8.110 0.000
0.000 0.000 7.319
Ba Li Ce S
2 2 2 8
direct
0.106 0.894 0.750
0.894 0.106 0.250
0.233 0.767 0.250
0.767 0.233 0.750
0.378 0.622 0.750
0.622 0.378 0.250
0.000 0.500 0.000
0.000 0.500 0.500
0.087 0.913 0.250
0.461 0.539 0.250
0.500 0.000 0.000
0.500 0.000 0.500
0.539 0.461 0.750
0.913 0.087 0.750
```

This record from Alexandria describes a relaxed structure of BaLiCe2S5. The functional is GGA-PBE.

Space-group type   I4/mcm (140)
Formation energy (no corrections)   -183.3 kJ/mol of atoms
N(E_F)   0.80 states/eV per atom

The structure in POSCAR format:
```
BaLiCe2S5
1.0
-3.879 3.879 6.895
3.879 -3.879 6.895
3.879 3.879 -6.895
Ba Li Ce S
2 2 4 10
direct
0.250 0.250 0.000
0.750 0.750 0.000
0.250 0.750 0.500
0.750 0.250 0.500
0.161 0.661 0.823
0.339 0.161 0.500
0.661 0.839 0.500
0.839 0.339 0.177
0.000 0.000 0.000
0.021 0.220 0.500
0.220 0.720 0.199
0.280 0.479 0.500
0.479 0.979 0.199
0.500 0.500 0.000
0.521 0.021 0.801
0.720 0.521 0.500
0.780 0.280 0.801
0.979 0.780 0.500
```

This record from Alexandria describes a relaxed structure of BaLiCeSe3. The functional is GGA-PBE.

Space-group type   P2_1/m (11)
Formation energy (no corrections)   -170.1 kJ/mol of atoms
N(E_F)   1.01 states/eV per atom

The structure in POSCAR format:
```
BaLiCeSe3
1.0
9.053 0.000 0.000
0.000 4.344 0.000
-2.151 0.000 9.101
Ba Li Ce Se
2 2 2 6
direct
0.185 0.250 0.237
0.815 0.750 0.763
0.085 0.250 0.589
0.915 0.750 0.411
0.331 0.750 0.836
0.669 0.250 0.164
0.113 0.250 0.866
0.202 0.750 0.517
0.441 0.750 0.165
0.559 0.250 0.835
0.798 0.250 0.483
0.887 0.750 0.134
```

This record from Alexandria describes a relaxed structure of BaLiCe2Se4. The functional is GGA-PBE.

Space-group type   Cmcm (63)
Formation energy (no corrections)   -170.4 kJ/mol of atoms
N(E_F)   1.76 states/eV per atom

The structure in POSCAR format:
```
BaLiCe2Se4
1.0
2.157 -7.149 0.000
2.157 7.149 0.000
0.000 0.000 14.712
Ba Li Ce Se
2 2 4 8
direct
0.114 0.886 0.750
0.886 0.114 0.250
0.154 0.846 0.250
0.846 0.154 0.750
0.369 0.631 0.557
0.369 0.631 0.943
0.631 0.369 0.057
0.631 0.369 0.443
0.000 0.000 0.000
0.000 0.000 0.500
0.267 0.733 0.118
0.267 0.733 0.382
0.439 0.561 0.750
0.561 0.439 0.250
0.733 0.267 0.618
0.733 0.267 0.882
```

This record from Alexandria describes a relaxed structure of BaLiCeSe4. The functional is GGA-PBE.

Space-group type   P2_1/m (11)
Formation energy (no corrections)   -149.2 kJ/mol of atoms
N(E_F)   0.37 states/eV per atom

The structure in POSCAR format:
```
BaLiCeSe4
1.0
7.369 0.000 0.000
0.000 5.796 0.000
-2.758 0.000 8.789
Ba Li Ce Se
2 2 2 8
direct
0.237 0.250 0.439
0.763 0.750 0.561
0.239 0.750 0.181
0.761 0.250 0.819
0.232 0.250 0.937
0.768 0.750 0.063
0.046 0.750 0.356
0.066 0.750 0.911
0.483 0.510 0.782
0.483 0.990 0.782
0.517 0.010 0.218
0.517 0.490 0.218
0.934 0.250 0.089
0.954 0.250 0.644
```

This record from Alexandria describes a relaxed structure of Ba2Li2CeSe4. The functional is GGA-PBE.

Space-group type   C2/m (12)
Formation energy (no corrections)   -156.6 kJ/mol of atoms
N(E_F)   1.10 states/eV per atom

The structure in POSCAR format:
```
Ba2Li2CeSe4
1.0
7.904 -2.144 0.000
7.904 2.144 0.000
-2.671 0.000 7.271
Ba Li Ce Se
2 2 1 4
direct
0.133 0.133 0.059
0.867 0.867 0.941
0.318 0.318 0.505
0.682 0.682 0.495
0.000 0.000 0.500
0.207 0.207 0.697
0.478 0.478 0.752
0.522 0.522 0.248
0.793 0.793 0.303
```

This record from Alexandria describes a relaxed structure of Ba2LiCeSe4. The functional is GGA-PBE.

Space-group type   P2/m (10)
Formation energy (no corrections)   -169.1 kJ/mol of atoms
N(E_F)   0.72 states/eV per atom

The structure in POSCAR format:
```
Ba2LiCeSe4
1.0
7.647 0.000 0.000
0.000 4.495 0.000
-2.517 0.000 7.293
Ba Li Ce Se
2 1 1 4
direct
0.000 0.000 0.000
0.500 0.500 0.000
0.000 0.500 0.500
0.500 0.000 0.500
0.248 0.000 0.721
0.261 0.500 0.281
0.739 0.500 0.719
0.752 0.000 0.279
```

This record from Alexandria describes a relaxed structure of BaLi2CeTe4. The functional is GGA-PBE.

Space-group type   I222 (23)
Formation energy (no corrections)   -108.1 kJ/mol of atoms
N(E_F)   0.17 states/eV per atom

The structure in POSCAR format:
```
BaLi2CeTe4
1.0
-3.935 3.937 4.454
3.935 -3.937 4.454
3.935 3.937 -4.454
Ba Li Ce Te
1 2 1 4
direct
0.000 0.000 0.000
0.251 0.751 0.500
0.749 0.249 0.500
0.500 0.500 0.000
0.085 0.085 0.557
0.473 0.915 0.000
0.527 0.527 0.443
0.915 0.473 0.000
```

This record from Alexandria describes a relaxed structure of BaLiCeTe3. The functional is GGA-PBE.

Space-group type   P2_1/m (11)
Formation energy (no corrections)   -137.4 kJ/mol of atoms
N(E_F)   1.09 states/eV per atom

The structure in POSCAR format:
```
BaLiCeTe3
1.0
9.587 0.000 0.000
0.000 4.626 0.000
-2.362 0.000 9.751
Ba Li Ce Te
2 2 2 6
direct
0.187 0.250 0.240
0.813 0.750 0.760
0.085 0.250 0.589
0.915 0.750 0.411
0.329 0.750 0.839
0.671 0.250 0.161
0.108 0.250 0.870
0.213 0.750 0.517
0.442 0.750 0.169
0.558 0.250 0.831
0.787 0.250 0.483
0.892 0.750 0.130
```

This record from Alexandria describes a relaxed structure of BaCeMg4. The functional is GGA-PBE.

Space-group type   F-43m (216)
N(E_F)   2.37 states/eV per atom

The structure in POSCAR format:
```
BaCeMg4
1.0
0.000 4.487 4.487
4.487 0.000 4.487
4.487 4.487 0.000
Ba Ce Mg
1 1 4
direct
0.000 0.000 0.000
0.250 0.250 0.250
0.129 0.624 0.624
0.624 0.129 0.624
0.624 0.624 0.129
0.624 0.624 0.624
```

This record from Alexandria describes a relaxed structure of BaCeMg14. The functional is GGA-PBE.

Space-group type   Amm2 (38)
N(E_F)   0.91 states/eV per atom
Energy above the most stable polymorph in this dataset   0.10 kcal/mol of atoms

The structure in POSCAR format:
```
BaCeMg14
1.0
10.701 0.000 0.000
0.000 3.481 5.504
0.000 -3.481 5.504
Ba Ce Mg
1 1 14
direct
0.000 0.000 0.000
0.000 0.503 0.503
0.000 0.002 0.499
0.000 0.499 0.002
0.249 0.263 0.263
0.249 0.751 0.751
0.275 0.262 0.755
0.275 0.755 0.262
0.500 0.074 0.580
0.500 0.088 0.088
0.500 0.580 0.074
0.500 0.585 0.585
0.725 0.262 0.755
0.725 0.755 0.262
0.751 0.263 0.263
0.751 0.751 0.751
```

This record from Alexandria describes a relaxed structure of BaCeMg14. The functional is GGA-PBE.

Space-group type   P-6m2 (187)
N(E_F)   0.84 states/eV per atom
Energy above the most stable polymorph in this dataset   0.00 kcal/mol of atoms

The structure in POSCAR format:
```
BaCeMg14
1.0
6.786 0.000 0.000
-3.393 5.877 0.000
0.000 0.000 10.508
Ba Ce Mg
1 1 14
direct
0.000 0.000 0.000
0.000 0.000 0.500
0.006 0.503 0.500
0.015 0.508 0.000
0.175 0.350 0.257
0.175 0.350 0.743
0.175 0.825 0.257
0.175 0.825 0.743
0.492 0.508 0.000
0.492 0.985 0.000
0.497 0.503 0.500
0.497 0.994 0.500
0.650 0.825 0.257
0.650 0.825 0.743
0.667 0.333 0.250
0.667 0.333 0.750
```

This record from Alexandria describes a relaxed structure of BaCeMg. The functional is GGA-PBE.

Space-group type   Cmcm (63)
N(E_F)   2.41 states/eV per atom

The structure in POSCAR format:
```
BaCeMg
1.0
2.529 -12.056 0.000
2.529 12.056 0.000
0.000 0.000 4.084
Ba Ce Mg
2 2 2
direct
0.181 0.819 0.750
0.819 0.181 0.250
0.462 0.538 0.250
0.538 0.462 0.750
0.051 0.949 0.250
0.949 0.051 0.750
```

Number 1: E_tot -7.423 eV/atom, magnetic moment 0.00 μB per formula unit. Number 2: E_tot -5.863 eV/atom, magnetic moment 1.29 μB per formula unit. Number 3: E_tot -6.578 eV/atom, magnetic moment 1.02 μB per formula unit. Number 4: E_tot -6.075 eV/atom, magnetic moment 0.90 μB per formula unit. Number 5: E_tot -6.264 eV/atom, magnetic moment 0.00 μB per formula unit. Number 6: E_tot -4.740 eV/atom, magnetic moment 0.27 μB per formula unit. Number 7: E_tot -5.922 eV/atom, magnetic moment 2.44 μB per formula unit. Number 8: E_tot -5.228 eV/atom, magnetic moment 0.26 μB per formula unit. Number 9: E_tot -5.937 eV/atom, magnetic moment 1.03 μB per formula unit. Number 10: E_tot -5.134 eV/atom, magnetic moment 0.98 μB per formula unit. Number 11: E_tot -5.472 eV/atom, magnetic moment 2.53 μB per formula unit. Number 12: E_tot -4.933 eV/atom, magnetic moment 0.27 μB per formula unit. Number 13: E_tot -4.684 eV/atom, magnetic moment 1.65 μB per formula unit. Number 14: E_tot -4.957 eV/atom, magnetic moment 0.98 μB per formula unit. Number 15: E_tot -4.152 eV/atom, magnetic moment 0.12 μB per formula unit. Number 16: E_tot -4.623 eV/atom, magnetic moment 0.99 μB per formula unit. Number 17: E_tot -2.342 eV/atom, magnetic moment 1.33 μB per formula unit. Number 18: E_tot -1.803 eV/atom, magnetic moment 1.29 μB per formula unit. Number 19: E_tot -1.807 eV/atom, magnetic moment 1.16 μB per formula unit. Number 20: E_tot -2.975 eV/atom, magnetic moment 0.28 μB per formula unit.